Record 1
Compound: KLa2Fe
Source: the Alexandria database
Functional: GGA-PBE
Structure: optimized geometry

Computed properties:
- space-group type = P4/mmm
- crystal system = tetragonal
- energy relative to the elements (eV per atom) = 0.2240
- VASP energy (eV/atom) = -4.6298
- size of the total moment (μB per formula unit) = 1.01
- N(E_F) (states/eV/cell) = 5.02
- offset from the most stable computed form (eV per formula unit) = 0.26

a b c (Å): 3.5818 3.5818 10.9240
angles (deg): 90.00 90.00 90.00
Atoms (fractional coordinates):
K 0.0000 0.0000 0.0000
La 0.5000 0.5000 0.3481
La 0.5000 0.5000 0.6519
Fe 0.0000 0.0000 0.5000

***

Record 2
Compound: SnBPt2I
Source: the Alexandria database
Functional: GGA-PBE
Structure: optimized geometry

Computed properties:
- space-group type = P4/mmm
- crystal system = tetragonal
- VASP energy (eV/atom) = -3.4878
- size of the total moment (μB per formula unit) = 0.00
- N(E_F) (states/eV/cell) = 3.03
- energy relative to the elements, uncorrected (eV/atom) = 1.3746

a b c (Å): 5.1289 5.1289 4.4159
angles (deg): 90.00 90.00 90.00
Atoms (fractional coordinates):
Sn 0.0000 0.0000 0.0000
B 0.5000 0.5000 0.0000
Pt 0.0000 0.5000 0.5000
Pt 0.5000 0.0000 0.5000
I 0.5000 0.5000 0.5000

***

Record 3
Compound: Ca3Ac
Source: the Alexandria database
Functional: GGA-PBE
Structure: optimized geometry

Computed properties:
- space-group type = Pmma
- crystal system = orthorhombic
- energy relative to the elements (eV per atom) = 0.0267
- VASP energy (eV/atom) = -2.5016
- size of the total moment (μB per formula unit) = 0.00
- N(E_F) (states/eV/cell) = 10.92

a b c (Å): 6.3597 7.8291 6.8434
angles (deg): 90.00 90.00 90.00
Atoms (fractional coordinates):
Ca 0.2500 0.0000 0.1628
Ca 0.2500 0.2516 0.6665
Ca 0.2500 0.7484 0.6665
Ca 0.7500 0.0000 0.8372
Ca 0.7500 0.2516 0.3335
Ca 0.7500 0.7484 0.3335
Ac 0.2500 0.5000 0.1641
Ac 0.7500 0.5000 0.8359